A:
Computed, not measured: a relaxed structure of RbRuNF2 at the PBE level of DFT.

Geometry as CIF:
```
data_RbRuNF2
_chemical_formula_sum 'Rb1 Ru1 N1 F2'
_space_group_name_H-M_alt 'P 4/m m m'
_space_group_IT_number 123
_space_group_name_Hall '-P 4 2'
_cell_length_a 4.954
_cell_length_b 4.954
_cell_length_c 4.698
_cell_angle_alpha 90.00
_cell_angle_beta 90.00
_cell_angle_gamma 90.00
loop_
_atom_site_label
_atom_site_type_symbol
_atom_site_fract_x
_atom_site_fract_y
_atom_site_fract_z
Rb1 Rb 0.000 0.000 0.000
Ru1 Ru 0.500 0.500 0.500
N1 N 0.000 0.000 0.500
F1 F 0.000 0.500 0.000
```

Results
size of the total moment = 4.99 Bohr magnetons per cell
calculated volume = 23.06 Å³ per atom

=====

B:
Computed, not measured: a relaxed structure of RbRuNF2 at the PBE level of DFT.

Geometry as CIF:
```
data_RbRuNF2
_chemical_formula_sum 'Rb1 Ru1 N1 F2'
_space_group_name_H-M_alt 'P 4/m m m'
_space_group_IT_number 123
_space_group_name_Hall '-P 4 2'
_cell_length_a 4.484
_cell_length_b 4.484
_cell_length_c 3.733
_cell_angle_alpha 90.00
_cell_angle_beta 90.00
_cell_angle_gamma 90.00
loop_
_atom_site_label
_atom_site_type_symbol
_atom_site_fract_x
_atom_site_fract_y
_atom_site_fract_z
Rb1 Rb 0.000 0.000 0.000
Ru1 Ru 0.500 0.500 0.500
N1 N 0.500 0.500 0.000
F1 F 0.000 0.500 0.500
```

Results
size of the total moment = 0.65 Bohr magnetons per cell
calculated volume = 15.01 Å³ per atom

=====

Stability ranking, top entry: B; the second entry is 2127 meV/atom less favorable.

=====

A:
Computed, not measured: a relaxed structure of RbRuN2F at the PBE level of DFT.

Geometry as CIF:
```
data_RbRuN2F
_chemical_formula_sum 'Rb1 Ru1 N2 F1'
_space_group_name_H-M_alt 'P 4/m m m'
_space_group_IT_number 123
_space_group_name_Hall '-P 4 2'
_cell_length_a 3.837
_cell_length_b 3.837
_cell_length_c 4.982
_cell_angle_alpha 90.00
_cell_angle_beta 90.00
_cell_angle_gamma 90.00
loop_
_atom_site_label
_atom_site_type_symbol
_atom_site_fract_x
_atom_site_fract_y
_atom_site_fract_z
Rb1 Rb 0.000 0.000 0.000
Ru1 Ru 0.500 0.500 0.500
N1 N 0.000 0.500 0.500
F1 F 0.500 0.500 0.000
```

Results
size of the total moment = 0.00 Bohr magnetons per cell
calculated volume = 14.67 Å³ per atom

=====

B:
Computed, not measured: a relaxed structure of RbRuN2F at the PBE level of DFT.

Geometry as CIF:
```
data_RbRuN2F
_chemical_formula_sum 'Rb1 Ru1 N2 F1'
_space_group_name_H-M_alt 'P 4/m m m'
_space_group_IT_number 123
_space_group_name_Hall '-P 4 2'
_cell_length_a 4.419
_cell_length_b 4.419
_cell_length_c 4.662
_cell_angle_alpha 90.00
_cell_angle_beta 90.00
_cell_angle_gamma 90.00
loop_
_atom_site_label
_atom_site_type_symbol
_atom_site_fract_x
_atom_site_fract_y
_atom_site_fract_z
Rb1 Rb 0.000 0.000 0.000
Ru1 Ru 0.500 0.500 0.500
N1 N 0.000 0.500 0.000
F1 F 0.000 0.000 0.500
```

Results
size of the total moment = 3.11 Bohr magnetons per cell
calculated volume = 18.21 Å³ per atom

=====

Stability ranking, top entry: A; the second entry is 2722 meV/atom less favorable.

=====

A:
Computed, not measured: a relaxed structure of RbSN2F at the PBE level of DFT.

Geometry as CIF:
```
data_RbSN2F
_chemical_formula_sum 'Rb1 S1 N2 F1'
_space_group_name_H-M_alt 'P 4/m m m'
_space_group_IT_number 123
_space_group_name_Hall '-P 4 2'
_cell_length_a 5.244
_cell_length_b 5.244
_cell_length_c 3.979
_cell_angle_alpha 90.00
_cell_angle_beta 90.00
_cell_angle_gamma 90.00
loop_
_atom_site_label
_atom_site_type_symbol
_atom_site_fract_x
_atom_site_fract_y
_atom_site_fract_z
Rb1 Rb 0.000 0.000 0.000
S1 S 0.500 0.500 0.000
N1 N 0.000 0.500 0.500
F1 F 0.500 0.500 0.500
```

Results
size of the total moment = 6.01 Bohr magnetons per cell
calculated volume = 21.89 Å³ per atom

=====

B:
Computed, not measured: a relaxed structure of RbSN2F at the PBE level of DFT.

Geometry as CIF:
```
data_RbSN2F
_chemical_formula_sum 'Rb1 S1 N2 F1'
_space_group_name_H-M_alt 'P 4/m m m'
_space_group_IT_number 123
_space_group_name_Hall '-P 4 2'
_cell_length_a 5.751
_cell_length_b 5.751
_cell_length_c 6.509
_cell_angle_alpha 90.00
_cell_angle_beta 90.00
_cell_angle_gamma 90.00
loop_
_atom_site_label
_atom_site_type_symbol
_atom_site_fract_x
_atom_site_fract_y
_atom_site_fract_z
Rb1 Rb 0.000 0.000 0.000
S1 S 0.000 0.000 0.500
N1 N 0.000 0.500 0.000
F1 F 0.500 0.500 0.500
```

Results
size of the total moment = 8.00 Bohr magnetons per cell
calculated volume = 43.06 Å³ per atom

=====

C:
Computed, not measured: a relaxed structure of RbSN2F at the PBE level of DFT.

Geometry as CIF:
```
data_RbSN2F
_chemical_formula_sum 'Rb1 S1 N2 F1'
_space_group_name_H-M_alt 'P 4/m m m'
_space_group_IT_number 123
_space_group_name_Hall '-P 4 2'
_cell_length_a 3.560
_cell_length_b 3.560
_cell_length_c 6.133
_cell_angle_alpha 90.00
_cell_angle_beta 90.00
_cell_angle_gamma 90.00
loop_
_atom_site_label
_atom_site_type_symbol
_atom_site_fract_x
_atom_site_fract_y
_atom_site_fract_z
Rb1 Rb 0.000 0.000 0.000
S1 S 0.500 0.500 0.500
N1 N 0.000 0.500 0.500
F1 F 0.500 0.500 0.000
```

Results
size of the total moment = 0.75 Bohr magnetons per cell
calculated volume = 15.55 Å³ per atom

=====

D:
Computed, not measured: a relaxed structure of RbSN2F at the PBE level of DFT.

Geometry as CIF:
```
data_RbSN2F
_chemical_formula_sum 'Rb1 S1 N2 F1'
_space_group_name_H-M_alt 'P 4/m m m'
_space_group_IT_number 123
_space_group_name_Hall '-P 4 2'
_cell_length_a 5.984
_cell_length_b 5.984
_cell_length_c 5.052
_cell_angle_alpha 90.00
_cell_angle_beta 90.00
_cell_angle_gamma 90.00
loop_
_atom_site_label
_atom_site_type_symbol
_atom_site_fract_x
_atom_site_fract_y
_atom_site_fract_z
Rb1 Rb 0.000 0.000 0.000
S1 S 0.500 0.500 0.500
N1 N 0.000 0.500 0.000
F1 F 0.000 0.000 0.500
```

Results
size of the total moment = 4.00 Bohr magnetons per cell
calculated volume = 36.18 Å³ per atom

=====

Stability ranking, top entry: C; the second entry is 1151 meV/atom less favorable.

=====

A:
Computed, not measured: a relaxed structure of RbS2NF at the PBE level of DFT.

Geometry as CIF:
```
data_RbS2NF
_chemical_formula_sum 'Rb1 S2 N1 F1'
_space_group_name_H-M_alt 'P 4/m m m'
_space_group_IT_number 123
_space_group_name_Hall '-P 4 2'
_cell_length_a 4.417
_cell_length_b 4.417
_cell_length_c 5.535
_cell_angle_alpha 90.00
_cell_angle_beta 90.00
_cell_angle_gamma 90.00
loop_
_atom_site_label
_atom_site_type_symbol
_atom_site_fract_x
_atom_site_fract_y
_atom_site_fract_z
Rb1 Rb 0.000 0.000 0.000
S1 S 0.000 0.500 0.500
N1 N 0.500 0.500 0.000
F1 F 0.500 0.500 0.500
```

Results
size of the total moment = 3.11 Bohr magnetons per cell
calculated volume = 21.59 Å³ per atom

=====

B:
Computed, not measured: a relaxed structure of RbS2NF at the PBE level of DFT.

Geometry as CIF:
```
data_RbS2NF
_chemical_formula_sum 'Rb1 S2 N1 F1'
_space_group_name_H-M_alt 'P 4/m m m'
_space_group_IT_number 123
_space_group_name_Hall '-P 4 2'
_cell_length_a 6.542
_cell_length_b 6.542
_cell_length_c 5.982
_cell_angle_alpha 90.00
_cell_angle_beta 90.00
_cell_angle_gamma 90.00
loop_
_atom_site_label
_atom_site_type_symbol
_atom_site_fract_x
_atom_site_fract_y
_atom_site_fract_z
Rb1 Rb 0.000 0.000 0.000
S1 S 0.000 0.500 0.000
N1 N 0.000 0.000 0.500
F1 F 0.500 0.500 0.500
```

Results
size of the total moment = 7.00 Bohr magnetons per cell
calculated volume = 51.21 Å³ per atom

=====

Stability ranking, top entry: A; the second entry is 687 meV/atom less favorable.

=====

A:
Computed, not measured: a relaxed structure of RbSeN2F at the PBE level of DFT.

Geometry as CIF:
```
data_RbSeN2F
_chemical_formula_sum 'Rb1 Se1 N2 F1'
_space_group_name_H-M_alt 'P 4/m m m'
_space_group_IT_number 123
_space_group_name_Hall '-P 4 2'
_cell_length_a 5.316
_cell_length_b 5.316
_cell_length_c 4.154
_cell_angle_alpha 90.00
_cell_angle_beta 90.00
_cell_angle_gamma 90.00
loop_
_atom_site_label
_atom_site_type_symbol
_atom_site_fract_x
_atom_site_fract_y
_atom_site_fract_z
Rb1 Rb 0.000 0.000 0.000
Se1 Se 0.500 0.500 0.000
N1 N 0.000 0.500 0.500
F1 F 0.500 0.500 0.500
```

Results
size of the total moment = 6.02 Bohr magnetons per cell
calculated volume = 23.47 Å³ per atom

=====

B:
Computed, not measured: a relaxed structure of RbSeN2F at the PBE level of DFT.

Geometry as CIF:
```
data_RbSeN2F
_chemical_formula_sum 'Rb1 Se1 N2 F1'
_space_group_name_H-M_alt 'P 4/m m m'
_space_group_IT_number 123
_space_group_name_Hall '-P 4 2'
_cell_length_a 5.688
_cell_length_b 5.688
_cell_length_c 5.026
_cell_angle_alpha 90.00
_cell_angle_beta 90.00
_cell_angle_gamma 90.00
loop_
_atom_site_label
_atom_site_type_symbol
_atom_site_fract_x
_atom_site_fract_y
_atom_site_fract_z
Rb1 Rb 0.000 0.000 0.000
Se1 Se 0.500 0.500 0.500
N1 N 0.000 0.500 0.000
F1 F 0.000 0.000 0.500
```

Results
size of the total moment = 4.00 Bohr magnetons per cell
calculated volume = 32.52 Å³ per atom

=====

Stability ranking, top entry: A; the second entry is 303 meV/atom less favorable.

=====

A:
Computed, not measured: a relaxed structure of RbSeN2F at the PBE level of DFT.

Geometry as CIF:
```
data_RbSeN2F
_chemical_formula_sum 'Rb1 Se1 N2 F1'
_space_group_name_H-M_alt 'P 4/m m m'
_space_group_IT_number 123
_space_group_name_Hall '-P 4 2'
_cell_length_a 3.823
_cell_length_b 3.823
_cell_length_c 5.503
_cell_angle_alpha 90.00
_cell_angle_beta 90.00
_cell_angle_gamma 90.00
loop_
_atom_site_label
_atom_site_type_symbol
_atom_site_fract_x
_atom_site_fract_y
_atom_site_fract_z
Rb1 Rb 0.000 0.000 0.000
Se1 Se 0.500 0.500 0.500
N1 N 0.000 0.500 0.500
F1 F 0.500 0.500 0.000
```

Results
size of the total moment = 0.85 Bohr magnetons per cell
calculated volume = 16.08 Å³ per atom

=====

B:
Computed, not measured: a relaxed structure of RbSeN2F at the PBE level of DFT.

Geometry as CIF:
```
data_RbSeN2F
_chemical_formula_sum 'Rb1 Se1 N2 F1'
_space_group_name_H-M_alt 'P 4/m m m'
_space_group_IT_number 123
_space_group_name_Hall '-P 4 2'
_cell_length_a 5.456
_cell_length_b 5.456
_cell_length_c 6.642
_cell_angle_alpha 90.00
_cell_angle_beta 90.00
_cell_angle_gamma 90.00
loop_
_atom_site_label
_atom_site_type_symbol
_atom_site_fract_x
_atom_site_fract_y
_atom_site_fract_z
Rb1 Rb 0.000 0.000 0.000
Se1 Se 0.000 0.000 0.500
N1 N 0.000 0.500 0.000
F1 F 0.500 0.500 0.500
```

Results
size of the total moment = 8.00 Bohr magnetons per cell
calculated volume = 39.55 Å³ per atom

=====

Stability ranking, top entry: A; the second entry is 1633 meV/atom less favorable.